First-principles (PBE-GGA) data for a geometry-optimized Sr2Cd4InPb3 structure, as listed in the Alexandria database.

abc: 4.8525 4.8525 12.9320
angles: 90.00 90.00 90.00
Closest atoms and distances in Å follow each position.
Positions (direct):
Sr (0.0000, 0.5000, 0.2505)  6 Pb 3.72-4.04, 8 Cd 3.73-4.05, 2 In 4.04
Sr (0.5000, 0.0000, 0.7495)  6 Pb 3.72-4.04, 8 Cd 3.73-4.05, 2 In 4.04
Cd (0.0000, 0.0000, 0.0000)  4 Pb 3.03
Cd (0.0000, 0.5000, 0.6371)  3 Pb 2.88-3.01, 2 In 3.01
Cd (0.5000, 0.0000, 0.3629)  3 Pb 2.88-3.01, 2 In 3.01
Cd (0.5000, 0.5000, 0.0000)  4 Pb 3.03
In (0.0000, 0.0000, 0.5000)  4 Cd 3.01
Pb (0.0000, 0.5000, 0.8598)  5 Cd 2.88-3.03
Pb (0.5000, 0.0000, 0.1402)  5 Cd 2.88-3.03
Pb (0.5000, 0.5000, 0.5000)  4 Cd 3.01

Results
Volume   30.45 Å³/atom
Uncorrected energy   -2.329 eV/atom
Crystal system   tetragonal

---

First-principles (PBE-GGA) data for a geometry-optimized TbCdInPb structure, as listed in the Alexandria database.

abc: 5.3518 5.3518 5.3518
angles: 60.00 60.00 60.00
Closest atoms and distances in Å follow each position.
Positions (direct):
Tb (0.0000, 0.0000, 0.0000)  4 Pb 3.28, 4 In 3.28
Cd (0.5000, 0.5000, 0.5000)  4 In 3.28, 4 Pb 3.28
In (0.2500, 0.2500, 0.2500)  4 Cd 3.28, 4 Tb 3.28
Pb (0.7500, 0.7500, 0.7500)  4 Tb 3.28, 4 Cd 3.28

Results
ΔE to the lowest computed polymorph   0.223 eV per atom
Volume   27.10 Å³/atom
Uncorrected energy   -3.137 eV/atom
Crystal system   cubic

---

First-principles (PBE-GGA) data for a geometry-optimized TbCdInPb structure, as listed in the Alexandria database.

abc: 4.5691 4.6828 4.8334
angles: 90.00 90.00 90.00
Closest atoms and distances in Å follow each position.
Positions (direct):
Tb (0.0000, 0.0000, 0.0000)  4 Pb 3.27, 4 In 3.33, 4 Cd 3.36
Cd (0.0000, 0.5000, 0.5000)  4 In 3.27, 4 Pb 3.33, 4 Tb 3.36
In (0.5000, 0.0000, 0.5000)  4 Cd 3.27, 4 Tb 3.33, 4 Pb 3.36
Pb (0.5000, 0.5000, 0.0000)  4 Tb 3.27, 4 Cd 3.33, 4 In 3.36

Results
ΔE to the lowest computed polymorph   0.000 eV per atom
Volume   25.85 Å³/atom
Uncorrected energy   -3.360 eV/atom
Crystal system   orthorhombic

---

First-principles (PBE-GGA) data for a geometry-optimized ThCdInPb structure, as listed in the Alexandria database.

abc: 4.6350 4.7796 4.9133
angles: 90.00 90.00 90.00
Closest atoms and distances in Å follow each position.
Positions (direct):
Th (0.0000, 0.0000, 0.0000)  4 Pb 3.33, 4 In 3.38, 4 Cd 3.43
Cd (0.0000, 0.5000, 0.5000)  4 In 3.33, 4 Pb 3.38, 4 Th 3.43
In (0.5000, 0.0000, 0.5000)  4 Cd 3.33, 4 Th 3.38, 4 Pb 3.43
Pb (0.5000, 0.5000, 0.0000)  4 Th 3.33, 4 Cd 3.38, 4 In 3.43

Results
Volume   27.21 Å³/atom
Uncorrected energy   -3.970 eV/atom
Crystal system   orthorhombic

---

First-principles (PBE-GGA) data for a geometry-optimized TlCdIn2Pb2 structure, as listed in the Alexandria database.

abc: 5.3482 9.7039 6.6945
angles: 90.00 90.00 90.00
Closest atoms and distances in Å follow each position.
Positions (direct):
Tl (0.0000, 0.0018, 0.0000)  5 In 3.32-3.63, 2 Tl 3.35, 1 Pb 3.43, 4 Cd 3.43-3.71
Tl (0.0000, 0.9982, 0.5000)  5 In 3.32-3.63, 2 Tl 3.35, 1 Pb 3.43, 4 Cd 3.43-3.71
Cd (0.5000, 0.1704, 0.2087)  5 In 3.14-3.36, 1 Pb 3.31, 2 Tl 3.43
Cd (0.5000, 0.8296, 0.7087)  5 In 3.14-3.36, 1 Pb 3.31, 2 Tl 3.43
In (0.0000, 0.3209, 0.3333)  2 Cd 3.16, 1 Tl 3.32, 3 Pb 3.33-3.37
In (0.0000, 0.6791, 0.8333)  2 Cd 3.16, 1 Tl 3.32, 3 Pb 3.33-3.37
In (0.5000, 0.1531, 0.7074)  3 Cd 3.14-3.36, 3 Pb 3.31-3.44, 2 Tl 3.37
In (0.5000, 0.8469, 0.2074)  3 Cd 3.14-3.36, 3 Pb 3.31-3.44, 2 Tl 3.37
Pb (0.0000, 0.3353, 0.8309)  5 In 3.31-3.37, 1 Tl 3.43, 4 Pb 3.51-3.57
Pb (0.0000, 0.6647, 0.3309)  5 In 3.31-3.37, 1 Tl 3.43, 4 Pb 3.51-3.57
Pb (0.5000, 0.4983, 0.5881)  1 Cd 3.31, 6 Pb 3.35-3.57, 5 In 3.44-3.61
Pb (0.5000, 0.5017, 0.0881)  1 Cd 3.31, 6 Pb 3.35-3.57, 5 In 3.44-3.61

Results
Volume   28.95 Å³/atom
Uncorrected energy   -2.659 eV/atom
Crystal system   orthorhombic

---

First-principles (PBE-GGA) data for a geometry-optimized TlCdIn4Pb2 structure, as listed in the Alexandria database.

abc: 9.1108 9.1108 6.5165
angles: 110.86 110.86 86.90
Closest atoms and distances in Å follow each position.
Positions (direct):
Tl (0.0000, 0.5000, 0.0000)  6 In 3.17-3.31, 2 Pb 3.26
Tl (0.5000, 0.0000, 0.5000)  6 In 3.17-3.31, 2 Pb 3.26
Cd (0.0000, 0.0000, 0.0000)  6 In 3.05-3.20, 2 Cd 3.26
Cd (0.0000, 0.0000, 0.5000)  6 In 3.05-3.20, 2 Cd 3.26
In (0.2365, 0.2417, 0.4890)  3 Pb 3.10-3.42, 1 Tl 3.17, 2 Cd 3.20, 2 In 3.26
In (0.2417, 0.2365, 0.9890)  3 Pb 3.10-3.42, 1 Tl 3.17, 2 Cd 3.20, 2 In 3.26
In (0.2432, 0.7569, 0.0001)  1 Cd 3.05, 3 Pb 3.22-3.32, 2 In 3.26, 2 Tl 3.31
In (0.2431, 0.7568, 0.4999)  1 Cd 3.05, 3 Pb 3.22-3.32, 2 In 3.26, 2 Tl 3.31
In (0.7568, 0.2431, 0.9999)  1 Cd 3.05, 3 Pb 3.22-3.32, 2 In 3.26, 2 Tl 3.31
In (0.7569, 0.2432, 0.5001)  1 Cd 3.05, 3 Pb 3.22-3.32, 2 In 3.26, 2 Tl 3.31
In (0.7583, 0.7635, 0.0110)  3 Pb 3.10-3.42, 1 Tl 3.17, 2 Cd 3.20, 2 In 3.26
In (0.7635, 0.7583, 0.5110)  3 Pb 3.10-3.42, 1 Tl 3.17, 2 Cd 3.20, 2 In 3.26
Pb (0.0000, 0.5000, 0.5000)  6 In 3.10-3.32, 2 Tl 3.26
Pb (0.5000, 0.0000, 0.0000)  6 In 3.10-3.32, 2 Tl 3.26
Pb (0.5000, 0.5000, 0.0000)  6 In 3.22-3.42, 2 Pb 3.26
Pb (0.5000, 0.5000, 0.5000)  6 In 3.22-3.42, 2 Pb 3.26

Results
Volume   29.42 Å³/atom
Uncorrected energy   -2.610 eV/atom
Crystal system   monoclinic

---

First-principles (PBE-GGA) data for a geometry-optimized Tl5Cd2InPb structure, as listed in the Alexandria database.

abc: 11.0613 11.0613 11.0553
angles: 90.00 90.00 155.95
Closest atoms and distances in Å follow each position.
Positions (direct):
Tl (0.0334, 0.9666, 0.5000)  4 Cd 3.06-3.27, 2 Pb 3.20-3.43
Tl (0.1616, 0.8384, 0.9511)  2 Cd 3.29, 2 In 3.32, 3 Tl 3.37-3.44, 1 Pb 3.53
Tl (0.1752, 0.8248, 0.6409)  1 In 3.13, 2 Cd 3.30, 2 Tl 3.44
Tl (0.2384, 0.7616, 0.3462)  2 In 3.30, 2 Cd 3.36, 3 Tl 3.37-3.53
Tl (0.4427, 0.5573, 0.2390)  2 Cd 3.12-3.49
Tl (0.5573, 0.4427, 0.7390)  2 Cd 3.12-3.49
Tl (0.7616, 0.2384, 0.8462)  2 In 3.30, 2 Cd 3.36, 3 Tl 3.37-3.53
Tl (0.8248, 0.1752, 0.1409)  1 In 3.13, 2 Cd 3.30, 2 Tl 3.44
Tl (0.8384, 0.1616, 0.4511)  2 Cd 3.29, 2 In 3.32, 3 Tl 3.37-3.44, 1 Pb 3.53
Tl (0.9666, 0.0334, 0.0000)  4 Cd 3.06-3.27, 2 Pb 3.20-3.43
Cd (0.3634, 0.6366, 0.9412)  1 In 3.21, 6 Tl 3.27-3.36, 2 Pb 3.58
Cd (0.4409, 0.5591, 0.5209)  5 Tl 3.06-3.29, 1 In 3.07, 2 Pb 3.23
Cd (0.5591, 0.4409, 0.0209)  5 Tl 3.06-3.29, 1 In 3.07, 2 Pb 3.23
Cd (0.6366, 0.3634, 0.4412)  1 In 3.21, 6 Tl 3.27-3.36, 2 Pb 3.58
In (0.3192, 0.6808, 0.6641)  2 Cd 3.07-3.21, 5 Tl 3.13-3.32, 2 Pb 3.29
In (0.6808, 0.3192, 0.1641)  2 Cd 3.07-3.21, 5 Tl 3.13-3.32, 2 Pb 3.29
Pb (0.0765, 0.9235, 0.2233)  3 Tl 3.20-3.53, 4 Cd 3.23-3.58, 2 In 3.29
Pb (0.9235, 0.0765, 0.7233)  3 Tl 3.20-3.53, 4 Cd 3.23-3.58, 2 In 3.29

Results
Volume   30.63 Å³/atom
Uncorrected energy   -2.165 eV/atom
Crystal system   orthorhombic

---

First-principles (PBE-GGA) data for a geometry-optimized Tl2Cd2In2Pb structure, as listed in the Alexandria database.

abc: 5.6926 5.6926 7.3307
angles: 97.08 97.08 56.26
Closest atoms and distances in Å follow each position.
Positions (direct):
Tl (0.1493, 0.1493, 0.4352)  5 Cd 3.18-3.51, 3 Tl 3.27-3.41, 1 Pb 3.33, 1 In 3.33
Tl (0.8507, 0.8507, 0.5648)  5 Cd 3.18-3.51, 3 Tl 3.27-3.41, 1 Pb 3.33, 1 In 3.33
Cd (0.4355, 0.4355, 0.2958)  1 Cd 3.09, 2 In 3.12-3.23, 1 Tl 3.18
Cd (0.5645, 0.5645, 0.7042)  1 Cd 3.09, 2 In 3.12-3.23, 1 Tl 3.18
In (0.2960, 0.2960, 0.8718)  2 Cd 3.12-3.23, 3 Pb 3.24-3.43, 1 Tl 3.33, 2 In 3.47
In (0.7040, 0.7040, 0.1282)  2 Cd 3.12-3.23, 3 Pb 3.24-3.43, 1 Tl 3.33, 2 In 3.47
Pb (0.0000, 0.0000, 0.0000)  6 In 3.24-3.43, 2 Tl 3.33, 4 Cd 3.57

Results
Volume   27.94 Å³/atom
Uncorrected energy   -2.206 eV/atom
Crystal system   monoclinic

---

First-principles (PBE-GGA) data for a geometry-optimized Tl2Cd2In4Pb3 structure, as listed in the Alexandria database.

abc: 5.3775 5.3775 13.0419
angles: 90.00 90.00 120.00
Closest atoms and distances in Å follow each position.
Positions (direct):
Tl (0.3333, 0.6667, 0.0806)  5 In 3.25-3.45
Tl (0.6667, 0.3333, 0.9194)  5 In 3.25-3.45
Cd (0.3333, 0.6667, 0.5904)  5 In 3.14-3.22, 3 Pb 3.32
Cd (0.6667, 0.3333, 0.4096)  5 In 3.14-3.22, 3 Pb 3.32
In (0.3333, 0.6667, 0.3451)  4 Cd 3.20-3.22, 3 Pb 3.43, 1 Tl 3.45
In (0.3333, 0.6667, 0.8315)  1 Cd 3.14, 3 Pb 3.22, 4 Tl 3.25-3.31
In (0.6667, 0.3333, 0.1685)  1 Cd 3.14, 3 Pb 3.22, 4 Tl 3.25-3.31
In (0.6667, 0.3333, 0.6549)  4 Cd 3.20-3.22, 3 Pb 3.43, 1 Tl 3.45
Pb (0.0000, 0.0000, 0.2340)  6 In 3.22-3.43, 1 Pb 3.47
Pb (0.0000, 0.0000, 0.5000)  6 Cd 3.32, 2 Pb 3.47, 6 In 3.70
Pb (0.0000, 0.0000, 0.7660)  6 In 3.22-3.43, 1 Pb 3.47

Results
Volume   29.69 Å³/atom
Uncorrected energy   -2.561 eV/atom
Crystal system   trigonal

---

First-principles (PBE-GGA) data for a geometry-optimized Tl2CdInPb4 structure, as listed in the Alexandria database.

abc: 4.8905 5.0502 9.6576
angles: 90.00 91.51 90.00
Closest atoms and distances in Å follow each position.
Positions (direct):
Tl (0.0000, 0.0000, 0.0000)  8 Pb 3.46-3.50, 4 In 3.52
Tl (0.5000, 0.5000, 0.5000)  8 Pb 3.38-3.48, 4 Cd 3.52
Cd (0.0000, 0.0000, 0.5000)  8 Pb 3.32-3.49, 4 Tl 3.52
In (0.5000, 0.5000, 0.0000)  8 Pb 3.40-3.53, 4 Tl 3.52
Pb (0.0014, 0.5000, 0.2507)  4 Tl 3.38-3.50, 2 In 3.40-3.48, 2 Cd 3.49, 4 Pb 3.49-3.54
Pb (0.4918, 0.0000, 0.7440)  2 Cd 3.32-3.47, 4 Tl 3.45-3.49, 4 Pb 3.49-3.54, 2 In 3.53
Pb (0.5082, 0.0000, 0.2560)  2 Cd 3.32-3.47, 4 Tl 3.45-3.49, 4 Pb 3.49-3.54, 2 In 3.53
Pb (0.9986, 0.5000, 0.7493)  4 Tl 3.38-3.50, 2 In 3.40-3.48, 2 Cd 3.49, 4 Pb 3.49-3.54

Results
Volume   29.81 Å³/atom
Uncorrected energy   -2.878 eV/atom
Crystal system   monoclinic

---

First-principles (PBE-GGA) data for a geometry-optimized Tl5CdInPb2 structure, as listed in the Alexandria database.

abc: 10.5555 10.5555 9.7263
angles: 90.00 90.00 149.22
Closest atoms and distances in Å follow each position.
Positions (direct):
Tl (0.0241, 0.9759, 0.5000)  2 In 3.30, 4 Pb 3.30-3.55, 1 Cd 3.34, 2 Tl 3.39
Tl (0.2664, 0.7336, 0.8335)  1 In 3.07, 1 Pb 3.18, 3 Tl 3.35-3.40, 2 Cd 3.38
Tl (0.2898, 0.7102, 0.1749)  2 Cd 3.30, 5 Tl 3.35-3.48, 1 Pb 3.44
Tl (0.3521, 0.6479, 0.5085)  1 Cd 3.34, 4 Pb 3.39-3.48, 2 Tl 3.48-3.61
Tl (0.4597, 0.5403, 0.1930)  2 In 3.08-3.24, 2 Pb 3.35, 2 Tl 3.39
Tl (0.5403, 0.4597, 0.6930)  2 In 3.08-3.24, 2 Pb 3.35, 2 Tl 3.39
Tl (0.6479, 0.3521, 0.0085)  1 Cd 3.34, 4 Pb 3.39-3.48, 2 Tl 3.48-3.61
Tl (0.7102, 0.2898, 0.6749)  2 Cd 3.30, 5 Tl 3.35-3.48, 1 Pb 3.44
Tl (0.7336, 0.2664, 0.3335)  1 In 3.07, 1 Pb 3.18, 3 Tl 3.35-3.40, 2 Cd 3.38
Tl (0.9759, 0.0241, 0.0000)  2 In 3.30, 4 Pb 3.30-3.55, 1 Cd 3.34, 2 Tl 3.39
Cd (0.1882, 0.8118, 0.5021)  2 Pb 3.28-3.39, 7 Tl 3.30-3.60
Cd (0.8118, 0.1882, 0.0021)  2 Pb 3.28-3.39, 7 Tl 3.30-3.60
In (0.4159, 0.5841, 0.8727)  5 Tl 3.07-3.30, 2 Pb 3.37
In (0.5841, 0.4159, 0.3727)  5 Tl 3.07-3.30, 2 Pb 3.37
Pb (0.1105, 0.8895, 0.8108)  7 Tl 3.18-3.50, 1 Cd 3.39
Pb (0.1210, 0.8790, 0.1959)  1 Cd 3.28, 2 In 3.37, 5 Tl 3.39-3.55
Pb (0.8790, 0.1210, 0.6959)  1 Cd 3.28, 2 In 3.37, 5 Tl 3.39-3.55
Pb (0.8895, 0.1105, 0.3108)  7 Tl 3.18-3.50, 1 Cd 3.39

Results
Volume   30.81 Å³/atom
Uncorrected energy   -2.477 eV/atom
Crystal system   orthorhombic